Sc2AlCu: optimized geometry, PBE.

Cell lengths 3.0786, 3.0786, 7.8761 Å; angles 90.00, 90.00, 90.00 degrees
Space group P4mm (No. 99)
Inequivalent atoms, fractional coordinates:
Sc: 0.0000 0.0000 0.0000 (multiplicity 1)
Sc: 0.5000 0.5000 0.3207 (multiplicity 1)
Al: 0.0000 0.0000 0.5892 (multiplicity 1)
Cu: 0.5000 0.5000 0.7657 (multiplicity 1)

- Crystal system: tetragonal
- Energy: -5.358 eV/atom
- Formation enthalpy at 0 K: -22.4 kJ per mole of atoms